Li17Cr2O12: relaxed, GGA-PBEsol.

Lattice parameters (Å, degrees): 5.2138 6.0189 8.1241 86.26 89.24 88.70
Last column: nearest neighbours and their distance in Å.
Fractional positions:
Li (0.0000, 0.0000, 0.0000)  3 O 1.86-2.00
Li (0.0042, 0.7867, 0.3825)  4 O 1.87-2.00
Li (0.1245, 0.3663, 0.4256)  5 O 2.02-2.21
Li (0.1543, 0.6360, 0.1566)  4 O 1.85-2.06
Li (0.2686, 0.2887, 0.1194)  4 O 1.87-2.00
Li (0.3148, 0.7494, 0.8619)  3 O 1.90-1.99
Li (0.3479, 0.0062, 0.4343)  4 O 1.90-2.01
Li (0.4267, 0.6318, 0.5511)  4 O 1.88-2.00
Li (0.4606, 0.3547, 0.8428)  3 O 1.82-1.99
Li (0.4815, 0.9067, 0.1406)  3 O 1.88-1.96
Li (0.6391, 0.9978, 0.8262)  4 O 1.85-2.03
Li (0.6480, 0.2672, 0.5578)  4 O 2.00-2.16
Li (0.7032, 0.2827, 0.0401)  3 O 1.85-1.98
Li (0.7778, 0.8374, 0.6065)  4 O 1.88-1.97
Li (0.8082, 0.6426, 0.9844)  3 O 1.85-2.01
Li (0.8192, 0.1199, 0.3001)  4 O 1.89-2.04
Li (0.9714, 0.5050, 0.7049)  4 O 1.90-2.05
Cr (0.1381, 0.0891, 0.7178)  5 O 1.92-2.05
Cr (0.6412, 0.5450, 0.2696)  6 O 1.92-2.14
O (0.2899, 0.3673, 0.6489)  4 Li 1.82-2.02, 1 Cr 1.92
O (0.3394, 0.0731, 0.9537)  5 Li 1.86-1.98
O (0.3480, 0.7239, 0.3289)  5 Li 1.85-1.96, 1 Cr 1.92
O (0.4341, 0.9120, 0.6554)  5 Li 1.87-1.99, 1 Cr 1.94
O (0.4718, 0.5487, 0.0311)  6 Li 1.88-2.01
O (0.4877, 0.2578, 0.3140)  3 Li 1.90-1.96, 1 Cr 1.93
O (0.7900, 0.5640, 0.4860)  5 Li 1.91-2.03, 1 Cr 1.94
O (0.8314, 0.8362, 0.1757)  6 Li 1.88-2.06
O (0.8415, 0.2459, 0.8218)  3 Li 1.85-1.93, 1 Cr 2.00
O (0.9405, 0.3881, 0.1809)  4 Li 1.85-1.94, 1 Cr 1.96
O (0.9633, 0.8057, 0.8108)  6 Li 1.85-2.05, 1 Cr 2.05
O (0.9835, 0.0649, 0.5049)  5 Li 1.89-2.03, 1 Cr 1.93

Computed properties:
Mass density, g cm⁻³: 2.70
Total magnetic moment, μB/cell: 5.00
Symmetry: P1 (1)
DFT total energy, eV/atom: -5.6403
Formation energy (no corrections), eV per atom: -1.869

***

Li2CrO: relaxed, GGA-PBEsol.

Lattice parameters (Å, degrees): 5.6093 5.6093 5.6093 96.64 96.64 140.25
Last column: nearest neighbours and their distance in Å.
Fractional positions:
Li (0.3750, 0.2298, 0.3548)  2 O 2.08
Li (0.7702, 0.1250, 0.1452)  2 O 2.08
Li (0.8750, 0.0202, 0.6452)  2 O 2.08
Li (0.9798, 0.6250, 0.8548)  2 O 2.08
Cr (0.2500, 0.7500, 0.5000)  2 O 1.91
Cr (0.5000, 0.5000, 0.0000)  2 O 1.91
O (0.0000, 0.0000, 0.0000)  2 Cr 1.91, 4 Li 2.08
O (0.7500, 0.2500, 0.5000)  2 Cr 1.91, 4 Li 2.08

Computed properties:
Mass density, g cm⁻³: 2.56
Total magnetic moment, μB/cell: 7.23
Symmetry: I-42d (122)
DFT total energy, eV/atom: -5.5039
Formation energy (no corrections), eV per atom: -0.648

***

Li9Cr5O12: relaxed, GGA-PBEsol.

Lattice parameters (Å, degrees): 5.1181 5.1181 9.8156 93.31 93.31 120.49
Last column: nearest neighbours and their distance in Å.
Fractional positions:
Li (0.0000, 0.0000, 0.0000)  6 O 2.14-2.17
Li (0.1928, 0.1928, 0.2560)  1 O 1.81
Li (0.2077, 0.6500, 0.7487)  4 O 1.87-2.08
Li (0.2584, 0.2584, 0.8063)  4 O 1.83-1.95
Li (0.3500, 0.7923, 0.2513)  4 O 1.87-2.08
Li (0.6500, 0.2077, 0.7487)  4 O 1.87-2.08
Li (0.7416, 0.7416, 0.1937)  4 O 1.83-1.95
Li (0.7923, 0.3500, 0.2513)  4 O 1.87-2.08
Li (0.8072, 0.8072, 0.7440)  1 O 1.81
Cr (0.1652, 0.8348, 0.5000)  6 O 1.98-2.02
Cr (0.3318, 0.6682, 0.0000)  6 O 1.99-2.02
Cr (0.5000, 0.5000, 0.5000)  6 O 2.00
Cr (0.6682, 0.3318, 0.0000)  6 O 1.99-2.02
Cr (0.8348, 0.1652, 0.5000)  6 O 1.98-2.02
O (0.0230, 0.6730, 0.1181)  2 Li 1.83-1.87, 2 Cr 2.00-2.02
O (0.1436, 0.4751, 0.3920)  3 Cr 2.00-2.02, 3 Li 2.00-2.08
O (0.1880, 0.1880, 0.6066)  1 Li 1.95, 3 Cr 1.98-2.00
O (0.3270, 0.9770, 0.8819)  2 Li 1.83-1.87, 2 Cr 2.00-2.02
O (0.3920, 0.3920, 0.1147)  2 Li 1.81-1.85, 2 Cr 1.99
O (0.4751, 0.1436, 0.3920)  3 Cr 2.00-2.02, 3 Li 2.00-2.08
O (0.5249, 0.8564, 0.6080)  3 Cr 2.00-2.02, 3 Li 2.00-2.08
O (0.6080, 0.6080, 0.8853)  2 Li 1.81-1.85, 2 Cr 1.99
O (0.6730, 0.0230, 0.1181)  2 Li 1.83-1.87, 2 Cr 2.00-2.02
O (0.8120, 0.8120, 0.3934)  1 Li 1.95, 3 Cr 1.98-2.00
O (0.8564, 0.5249, 0.6080)  3 Cr 2.00-2.02, 3 Li 2.00-2.08
O (0.9770, 0.3270, 0.8819)  2 Li 1.83-1.87, 2 Cr 2.00-2.02

Computed properties:
Mass density, g cm⁻³: 3.88
Total magnetic moment, μB/cell: 14.83
Symmetry: C2/m (12)
DFT total energy, eV/atom: -7.0073
Formation energy (no corrections), eV per atom: -1.934

***

Li4CrO4: relaxed, GGA-PBEsol.

Lattice parameters (Å, degrees): 5.0909 5.1223 7.6126 70.79 82.97 67.97
Last column: nearest neighbours and their distance in Å.
Fractional positions:
Li (0.2184, 0.1072, 0.2079)  4 O 1.93-1.96
Li (0.2389, 0.9895, 0.5641)  4 O 1.95-2.10
Li (0.2486, 0.5772, 0.4154)  4 O 1.96-2.07
Li (0.2568, 0.7423, 0.9954)  4 O 1.96-2.06
Li (0.7432, 0.2577, 0.0046)  4 O 1.96-2.06
Li (0.7514, 0.4228, 0.5846)  4 O 1.96-2.07
Li (0.7611, 0.0105, 0.4359)  4 O 1.95-2.10
Li (0.7816, 0.8928, 0.7921)  4 O 1.93-1.96
Cr (0.2210, 0.3381, 0.7740)  4 O 1.74-1.80
Cr (0.7790, 0.6619, 0.2260)  4 O 1.74-1.80
O (0.0054, 0.1229, 0.8055)  1 Cr 1.77, 1 Li 1.95
O (0.0236, 0.6915, 0.6246)  1 Cr 1.77, 3 Li 1.93-1.96
O (0.3393, 0.3426, 0.9778)  1 Cr 1.74
O (0.4869, 0.1993, 0.6160)  1 Cr 1.80, 1 Li 1.96
O (0.5131, 0.8007, 0.3840)  1 Cr 1.80, 1 Li 1.96
O (0.6607, 0.6574, 0.0222)  1 Cr 1.74
O (0.9764, 0.3085, 0.3754)  1 Cr 1.77, 3 Li 1.93-1.96
O (0.9946, 0.8771, 0.1945)  1 Cr 1.77, 1 Li 1.95

Computed properties:
Mass density, g cm⁻³: 2.75
Total magnetic moment, μB/cell: 4.00
Symmetry: P-1 (2)
DFT total energy, eV/atom: -6.3142
Offset from the most stable computed form, meV per atom: 0
Formation energy (no corrections), eV per atom: -1.969